No. 1
Density functional theory data (PBE) for a geometry-optimized SnPd2Au2 structure.

Properties
E_tot: -4.37 eV/atom
excess energy over the best structure of this formula in the dataset: 74 meV/atom
M_tot: 0.000 Bohr magnetons per cell
theoretical density: 12.836 g cm⁻³
ΔH_f (0 K): -184 meV per atom

Cell: 6.9328 6.9328 3.9054 Å, 90.00 90.00 90.00°
Atoms (fractional coordinates):
1 Sn 0.0000 0.0000 0.0000
2 Sn 0.5000 0.5000 0.0000
3 Pd 0.1416 0.3584 0.0000
4 Pd 0.3584 0.8584 0.0000
5 Pd 0.6416 0.1416 0.0000
6 Pd 0.8584 0.6416 0.0000
7 Au 0.1556 0.6556 0.5000
8 Au 0.3444 0.1556 0.5000
9 Au 0.6556 0.8444 0.5000
10 Au 0.8444 0.3444 0.5000

No. 2
Density functional theory data (PBE) for a geometry-optimized SnPd5Au4 structure.

Properties
E_tot: -4.32 eV/atom
M_tot: 0.000 Bohr magnetons per cell
theoretical density: 12.946 g cm⁻³
ΔH_f (0 K): -10 meV per atom

Cell: 6.4269 6.4269 6.4269 Å, 100.33 100.33 129.89°
Atoms (fractional coordinates):
1 Sn 0.0000 0.0000 0.0000
2 Pd 0.0017 0.1384 0.6416
3 Pd 0.1384 0.4968 0.1367
4 Pd 0.3601 0.0017 0.8633
5 Pd 0.4968 0.3601 0.3584
6 Pd 0.5432 0.5432 0.0000
7 Au 0.0680 0.8100 0.3924
8 Au 0.4175 0.6756 0.6076
9 Au 0.6756 0.0680 0.2580
10 Au 0.8100 0.4175 0.7420

No. 3
Density functional theory data (PBE) for a geometry-optimized Sn2Pd8Au structure.

Properties
E_tot: -5.14 eV/atom
excess energy over the best structure of this formula in the dataset: 5 meV/atom
M_tot: 0.000 Bohr magnetons per cell
theoretical density: 11.697 g cm⁻³
ΔH_f (0 K): -342 meV per atom

Cell: 7.4682 7.4682 6.5237 Å, 108.55 108.55 32.12°
Atoms (fractional coordinates):
1 Sn 0.2151 0.2151 0.1664
2 Sn 0.7849 0.7849 0.8336
3 Pd 0.0376 0.0376 0.2288
4 Pd 0.1484 0.1484 0.7103
5 Pd 0.3246 0.3246 0.5853
6 Pd 0.4044 0.4044 0.0407
7 Pd 0.5956 0.5956 0.9593
8 Pd 0.6754 0.6754 0.4147
9 Pd 0.8516 0.8516 0.2897
10 Pd 0.9624 0.9624 0.7712
11 Au 0.5000 0.5000 0.5000

No. 4
Density functional theory data (PBE) for a geometry-optimized SnPd5Au3 structure.

Properties
E_tot: -4.30 eV/atom
M_tot: 0.000 Bohr magnetons per cell
theoretical density: 11.774 g cm⁻³
ΔH_f (0 K): 122 meV per atom

Cell: 5.5209 5.5209 11.5866 Å, 93.84 93.84 84.79°
Atoms (fractional coordinates):
1 Sn 0.0639 0.0639 0.2696
2 Sn 0.9361 0.9361 0.7304
3 Pd 0.0225 0.5884 0.3266
4 Pd 0.2896 0.2896 0.1290
5 Pd 0.3307 0.6693 0.0000
6 Pd 0.4116 0.9775 0.6734
7 Pd 0.4755 0.4755 0.7015
8 Pd 0.5245 0.5245 0.2985
9 Pd 0.5884 0.0225 0.3266
10 Pd 0.6693 0.3307 0.0000
11 Pd 0.7104 0.7104 0.8710
12 Pd 0.9775 0.4116 0.6734
13 Au 0.0000 0.0000 0.0000
14 Au 0.0000 0.0000 0.5000
15 Au 0.2562 0.2562 0.8666
16 Au 0.3286 0.3286 0.4849
17 Au 0.6714 0.6714 0.5151
18 Au 0.7438 0.7438 0.1334

No. 5
Density functional theory data (PBE) for a geometry-optimized SnPd2Au6 structure.

Properties
E_tot: -3.93 eV/atom
excess energy over the best structure of this formula in the dataset: 0 meV/atom
M_tot: 0.000 Bohr magnetons per cell
theoretical density: 15.651 g cm⁻³
ΔH_f (0 K): -146 meV per atom

Cell: 8.6867 8.6867 4.2556 Å, 90.00 90.00 90.00°
Atoms (fractional coordinates):
1 Sn 0.0000 0.0000 0.0000
2 Sn 0.5000 0.5000 0.5000
3 Pd 0.1387 0.1387 0.5000
4 Pd 0.3613 0.6387 0.0000
5 Pd 0.6387 0.3613 0.0000
6 Pd 0.8613 0.8613 0.5000
7 Au 0.0194 0.6661 0.0000
8 Au 0.1661 0.4806 0.5000
9 Au 0.1919 0.8081 0.5000
10 Au 0.3081 0.3081 0.0000
11 Au 0.3339 0.9806 0.0000
12 Au 0.4806 0.1661 0.5000
13 Au 0.5194 0.8339 0.5000
14 Au 0.6661 0.0194 0.0000
15 Au 0.6919 0.6919 0.0000
16 Au 0.8081 0.1919 0.5000
17 Au 0.8339 0.5194 0.5000
18 Au 0.9806 0.3339 0.0000

No. 6
Density functional theory data (PBE) for a geometry-optimized SnPd2Au2 structure.

Properties
E_tot: -4.45 eV/atom
excess energy over the best structure of this formula in the dataset: 0 meV/atom
M_tot: 0.000 Bohr magnetons per cell
theoretical density: 13.310 g cm⁻³
ΔH_f (0 K): -257 meV per atom

Cell: 7.6578 7.6578 7.6578 Å, 144.69 135.30 58.21°
Atoms (fractional coordinates):
1 Sn 0.3801 0.1301 0.2500
2 Sn 0.6199 0.8699 0.7500
3 Pd 0.1868 0.6863 0.5005
4 Pd 0.3142 0.3137 0.0005
5 Pd 0.6858 0.6863 0.9995
6 Pd 0.8132 0.3137 0.4995
7 Au 0.1264 0.8764 0.2500
8 Au 0.2501 0.5001 0.7500
9 Au 0.7499 0.4999 0.2500
10 Au 0.8736 0.1236 0.7500

No. 7
Density functional theory data (PBE) for a geometry-optimized SnPd9Au2 structure.

Properties
E_tot: -4.97 eV/atom
M_tot: 0.000 Bohr magnetons per cell
theoretical density: 12.594 g cm⁻³
ΔH_f (0 K): -194 meV per atom

Cell: 4.0372 4.0372 11.8950 Å, 90.00 90.00 90.00°
Atoms (fractional coordinates):
1 Sn 0.0000 0.0000 0.0000
2 Pd 0.0000 0.5000 0.1656
3 Pd 0.0000 0.5000 0.5000
4 Pd 0.0000 0.5000 0.8344
5 Pd 0.5000 0.0000 0.1656
6 Pd 0.5000 0.0000 0.5000
7 Pd 0.5000 0.0000 0.8344
8 Pd 0.5000 0.5000 0.0000
9 Pd 0.5000 0.5000 0.3331
10 Pd 0.5000 0.5000 0.6669
11 Au 0.0000 0.0000 0.3342
12 Au 0.0000 0.0000 0.6658

No. 8
Density functional theory data (PBE) for a geometry-optimized SnPd2Au6 structure.

Properties
E_tot: -3.89 eV/atom
excess energy over the best structure of this formula in the dataset: 36 meV/atom
M_tot: 0.000 Bohr magnetons per cell
theoretical density: 15.424 g cm⁻³
ΔH_f (0 K): -110 meV per atom

Cell: 7.3183 7.3183 7.5747 Å, 115.54 115.54 86.99°
Atoms (fractional coordinates):
1 Sn 0.1742 0.8258 0.7500
2 Sn 0.8258 0.1742 0.2500
3 Pd 0.2001 0.4215 0.5628
4 Pd 0.4215 0.2001 0.0628
5 Pd 0.5785 0.7999 0.9372
6 Pd 0.7999 0.5785 0.4372
7 Au 0.0101 0.1985 0.6872
8 Au 0.0856 0.3801 0.1351
9 Au 0.1985 0.0101 0.1872
10 Au 0.3285 0.5713 0.0222
11 Au 0.3801 0.0856 0.6351
12 Au 0.4287 0.6715 0.4778
13 Au 0.5713 0.3285 0.5222
14 Au 0.6199 0.9144 0.3649
15 Au 0.6715 0.4287 0.9778
16 Au 0.8015 0.9899 0.8128
17 Au 0.9144 0.6199 0.8649
18 Au 0.9899 0.8015 0.3128

No. 9
Density functional theory data (PBE) for a geometry-optimized Sn3PdAu2 structure.

Properties
E_tot: -4.12 eV/atom
excess energy over the best structure of this formula in the dataset: 127 meV/atom
M_tot: 0.000 Bohr magnetons per cell
theoretical density: 10.265 g cm⁻³
ΔH_f (0 K): -160 meV per atom

Cell: 10.0229 10.0229 7.4850 Å, 100.80 100.80 22.05°
Atoms (fractional coordinates):
1 Sn 0.0687 0.0687 0.4404
2 Sn 0.2480 0.2480 0.8144
3 Sn 0.4184 0.4184 0.2082
4 Sn 0.5816 0.5816 0.7918
5 Sn 0.7520 0.7520 0.1856
6 Sn 0.9313 0.9313 0.5596
7 Pd 0.1498 0.1498 0.0272
8 Pd 0.8502 0.8502 0.9728
9 Au 0.2033 0.2033 0.4083
10 Au 0.4422 0.4422 0.8373
11 Au 0.5578 0.5578 0.1627
12 Au 0.7967 0.7967 0.5917

No. 10
Density functional theory data (PBE) for a geometry-optimized SnPd8Au5 structure.

Properties
E_tot: -4.48 eV/atom
M_tot: 0.000 Bohr magnetons per cell
theoretical density: 13.083 g cm⁻³
ΔH_f (0 K): -54 meV per atom

Cell: 6.8569 6.8569 6.8569 Å, 109.95 109.95 108.52°
Atoms (fractional coordinates):
1 Sn 0.0000 0.0000 0.0000
2 Pd 0.0221 0.7495 0.6039
3 Pd 0.0711 0.3589 0.9303
4 Pd 0.1456 0.4182 0.3961
5 Pd 0.2505 0.8544 0.2726
6 Pd 0.4286 0.1407 0.0697
7 Pd 0.5818 0.9779 0.7274
8 Pd 0.6411 0.5714 0.7121
9 Pd 0.8593 0.9289 0.2879
10 Au 0.2969 0.2087 0.6815
11 Au 0.3846 0.7031 0.9118
12 Au 0.5272 0.6154 0.3185
13 Au 0.7500 0.2500 0.5000
14 Au 0.7913 0.4728 0.0882

> Which value of E_tot does entry 7 give?

-4.97 eV/atom